PBE Pu5Si4, optimized geometry; E_form (uncorrected) = -3.46 eV per formula unit; Fermi-level density of states = 30.932 states/eV per cell
1.0
4.3367 0.0000 1.1143
2.0700 4.9556 0.9396
0.0219 -0.9511 8.9102
Si Pu
4 5
direct
0.3808 0.6104 0.6279
0.5373 0.7440 0.1814
0.6192 0.3896 0.3721
0.4627 0.2560 0.8186
0.7506 0.6585 0.8403
0.8903 0.8027 0.4167
0.2494 0.3415 0.1597
0.0000 0.0000 0.0000
0.1097 0.1973 0.5833